A plane-wave DFT calculation with PBE was carried out for a geometry-optimized DyTmPd structure.

```
DyTmPd
1.0
7.027 0.000 0.000
0.000 4.857 0.000
0.000 0.000 8.734
Dy Tm Pd
4 4 4
direct
0.146 0.250 0.081 Dy
0.354 0.750 0.581 Dy
0.646 0.250 0.419 Dy
0.854 0.750 0.919 Dy
0.015 0.250 0.671 Tm
0.485 0.750 0.171 Tm
0.515 0.250 0.829 Tm
0.985 0.750 0.329 Tm
0.237 0.250 0.405 Pd
0.263 0.750 0.905 Pd
0.737 0.250 0.095 Pd
0.763 0.750 0.595 Pd
```

Summary:
Its space group is Pnma, No. 62. The total magnetization is 0.00 μB per formula unit. The calculated formation energy is -0.637 eV per atom.